[1]
This record from Alexandria describes a relaxed SrMgF4 crystal. The functional is GGA-PBE.

Values from the calculation:
Its total energy is -131.7 eV per cell. Its raw formation energy is -3.69 eV/atom.

Geometry as CIF:
```
data_SrMgF4
_symmetry_space_group_name_H-M 'C m c m'
_symmetry_Int_Tables_number 63
_symmetry_space_group_name_Hall '-C 2c 2'
_cell_length_a 4.074
_cell_length_b 15.000
_cell_length_c 5.595
_cell_angle_alpha 90.00
_cell_angle_beta 90.00
_cell_angle_gamma 90.00
loop_
_atom_site_label
_atom_site_fract_x
_atom_site_fract_y
_atom_site_fract_z
_atom_site_occupancy
Sr1 0.000 0.169 0.250 1
Mg1 0.000 0.411 0.250 1
F1 0.000 0.101 0.750 1
F2 0.000 0.314 0.002 1
F3 0.000 0.500 0.000 1
```

[2]
This record from Alexandria describes a relaxed SrMg2F7 crystal. The functional is GGA-PBE.

Values from the calculation:
Its total energy is -100.0 eV per cell. Its raw formation energy is -3.20 eV/atom.

Geometry as CIF:
```
data_SrMg2F7
_symmetry_space_group_name_H-M 'C m m m'
_symmetry_Int_Tables_number 65
_symmetry_space_group_name_Hall '-C 2 2'
_cell_length_a 6.486
_cell_length_b 10.339
_cell_length_c 3.827
_cell_angle_alpha 90.00
_cell_angle_beta 90.00
_cell_angle_gamma 90.00
loop_
_atom_site_label
_atom_site_fract_x
_atom_site_fract_y
_atom_site_fract_z
_atom_site_occupancy
Sr1 0.000 0.000 0.000 1
Mg1 0.000 0.301 0.500 1
F1 0.000 0.274 0.000 1
F2 0.000 0.500 0.500 1
F3 0.194 0.129 0.500 1
```

[3]
This record from Alexandria describes a relaxed SrMgTc2F crystal. The functional is GGA-PBE.

Values from the calculation:
Its total energy is -15.8 eV per cell. Its raw formation energy is 2.02 eV/atom.

Geometry as CIF:
```
data_SrMgTc2F
_symmetry_space_group_name_H-M 'P 4/m m m'
_symmetry_Int_Tables_number 123
_symmetry_space_group_name_Hall '-P 4 2'
_cell_length_a 5.091
_cell_length_b 5.091
_cell_length_c 6.261
_cell_angle_alpha 90.00
_cell_angle_beta 90.00
_cell_angle_gamma 90.00
loop_
_atom_site_label
_atom_site_fract_x
_atom_site_fract_y
_atom_site_fract_z
_atom_site_occupancy
Sr1 0.000 0.000 0.000 1
Mg1 0.000 0.000 0.500 1
Tc1 0.000 0.500 0.000 1
F1 0.500 0.500 0.500 1
```

[4]
This record from Alexandria describes a relaxed SrMgTe2F crystal. The functional is GGA-PBE.

Values from the calculation:
Its total energy is -16.6 eV per cell. Its raw formation energy is -1.04 eV/atom.

Geometry as CIF:
```
data_SrMgTe2F
_symmetry_space_group_name_H-M 'P 4/m m m'
_symmetry_Int_Tables_number 123
_symmetry_space_group_name_Hall '-P 4 2'
_cell_length_a 6.336
_cell_length_b 6.336
_cell_length_c 4.383
_cell_angle_alpha 90.00
_cell_angle_beta 90.00
_cell_angle_gamma 90.00
loop_
_atom_site_label
_atom_site_fract_x
_atom_site_fract_y
_atom_site_fract_z
_atom_site_occupancy
Sr1 0.000 0.000 0.000 1
Mg1 0.500 0.500 0.500 1
Te1 0.000 0.500 0.000 1
F1 0.000 0.000 0.500 1
```

[5]
This record from Alexandria describes a relaxed SrMgTi2F crystal. The functional is GGA-PBE.

Values from the calculation:
Its total energy is -18.3 eV per cell. Its raw formation energy is 0.52 eV/atom.

Geometry as CIF:
```
data_SrMgTi2F
_symmetry_space_group_name_H-M 'P 4/m m m'
_symmetry_Int_Tables_number 123
_symmetry_space_group_name_Hall '-P 4 2'
_cell_length_a 6.038
_cell_length_b 6.038
_cell_length_c 4.324
_cell_angle_alpha 90.00
_cell_angle_beta 90.00
_cell_angle_gamma 90.00
loop_
_atom_site_label
_atom_site_fract_x
_atom_site_fract_y
_atom_site_fract_z
_atom_site_occupancy
Sr1 0.000 0.000 0.000 1
Mg1 0.500 0.500 0.500 1
Ti1 0.000 0.500 0.000 1
F1 0.000 0.000 0.500 1
```

[6]
This record from Alexandria describes a relaxed SrMg2Tl3F9 crystal. The functional is GGA-PBE.

Values from the calculation:
Its total energy is -72.2 eV per cell. Its raw formation energy is -2.89 eV/atom.

Geometry as CIF:
```
data_SrMg2Tl3F9
_symmetry_space_group_name_H-M 'P -3 m 1'
_symmetry_Int_Tables_number 164
_symmetry_space_group_name_Hall '-P 3 2"'
_cell_length_a 6.0611
_cell_length_b 6.0611
_cell_length_c 7.7027
_cell_angle_alpha 90.00
_cell_angle_beta 90.00
_cell_angle_gamma 120.00
loop_
_atom_site_label
_atom_site_fract_x
_atom_site_fract_y
_atom_site_fract_z
_atom_site_occupancy
Sr1 0.0000 0.0000 0.0000 1
Mg1 0.3333 0.6667 0.6540 1
Tl1 0.0000 0.0000 0.5000 1
Tl2 0.3333 0.6667 0.1977 1
F1 0.0000 0.5000 0.5000 1
F2 0.1776 0.3552 0.8024 1
```

[7]
This record from Alexandria describes a relaxed MgTaF2 crystal. The functional is GGA-PBE.

Values from the calculation:
As for the energy above the most stable polymorph in this dataset: 0.0 meV/atom. Its total energy is -74.0 eV per cell. Its raw formation energy is -1.87 eV/atom.

Geometry as CIF:
```
data_MgTaF2
_symmetry_space_group_name_H-M 'R -3 m'
_symmetry_Int_Tables_number 166
_symmetry_space_group_name_Hall '-R 3 2"'
_cell_length_a 2.9154
_cell_length_b 2.9154
_cell_length_c 25.4082
_cell_angle_alpha 90.00
_cell_angle_beta 90.00
_cell_angle_gamma 120.00
loop_
_atom_site_label
_atom_site_fract_x
_atom_site_fract_y
_atom_site_fract_z
_atom_site_occupancy
Mg1 0.0000 0.0000 0.0000 1
Ta1 0.0000 0.0000 0.5000 1
F1 0.0000 0.0000 0.3731 1
```

[8]
This record from Alexandria describes a relaxed MgTaF2 crystal. The functional is GGA-PBE.

Values from the calculation:
As for the energy above the most stable polymorph in this dataset: 1432.0 meV/atom. Its total energy is -75.8 eV per cell. Its raw formation energy is -0.44 eV/atom.

Geometry as CIF:
```
data_MgTaF2
_symmetry_space_group_name_H-M 'F m -3 m'
_symmetry_Int_Tables_number 225
_symmetry_space_group_name_Hall '-F 4 2 3'
_cell_length_a 6.082
_cell_length_b 6.082
_cell_length_c 6.082
_cell_angle_alpha 90.00
_cell_angle_beta 90.00
_cell_angle_gamma 90.00
loop_
_atom_site_label
_atom_site_fract_x
_atom_site_fract_y
_atom_site_fract_z
_atom_site_occupancy
Mg1 0.000 0.000 0.000 1
Ta1 0.000 0.000 0.500 1
F1 0.250 0.250 0.250 1
```

[9]
This record from Alexandria describes a relaxed MgTaF2 crystal. The functional is GGA-PBE.

Values from the calculation:
As for the energy above the most stable polymorph in this dataset: 752.6 meV/atom. Its total energy is -86.7 eV per cell. Its raw formation energy is -1.12 eV/atom.

Geometry as CIF:
```
data_MgTaF2
_symmetry_space_group_name_H-M 'I -4 2 d'
_symmetry_Int_Tables_number 122
_symmetry_space_group_name_Hall 'I -4 2bw'
_cell_length_a 5.061
_cell_length_b 5.061
_cell_length_c 9.361
_cell_angle_alpha 90.00
_cell_angle_beta 90.00
_cell_angle_gamma 90.00
loop_
_atom_site_label
_atom_site_fract_x
_atom_site_fract_y
_atom_site_fract_z
_atom_site_occupancy
Mg1 0.000 0.000 0.000 1
Ta1 0.000 0.000 0.500 1
F1 0.169 0.250 0.125 1
```

[10]
This record from Alexandria describes a relaxed Mg2TaF crystal. The functional is GGA-PBE.

Values from the calculation:
As for the energy above the most stable polymorph in this dataset: 790.9 meV/atom. Its total energy is -61.0 eV per cell. Its raw formation energy is 0.42 eV/atom.

Geometry as CIF:
```
data_Mg2TaF
_symmetry_space_group_name_H-M 'F m -3 m'
_symmetry_Int_Tables_number 225
_symmetry_space_group_name_Hall '-F 4 2 3'
_cell_length_a 6.758
_cell_length_b 6.758
_cell_length_c 6.758
_cell_angle_alpha 90.00
_cell_angle_beta 90.00
_cell_angle_gamma 90.00
loop_
_atom_site_label
_atom_site_fract_x
_atom_site_fract_y
_atom_site_fract_z
_atom_site_occupancy
Mg1 0.250 0.250 0.250 1
Ta1 0.000 0.000 0.000 1
F1 0.000 0.000 0.500 1
```

[11]
This record from Alexandria describes a relaxed MgTaF2 crystal. The functional is GGA-PBE.

Values from the calculation:
As for the energy above the most stable polymorph in this dataset: 495.5 meV/atom. Its total energy is -68.1 eV per cell. Its raw formation energy is -1.38 eV/atom.

Geometry as CIF:
```
data_MgTaF2
_symmetry_space_group_name_H-M 'R -3 m'
_symmetry_Int_Tables_number 166
_symmetry_space_group_name_Hall '-R 3 2"'
_cell_length_a 2.8963
_cell_length_b 2.8963
_cell_length_c 25.0146
_cell_angle_alpha 90.00
_cell_angle_beta 90.00
_cell_angle_gamma 120.00
loop_
_atom_site_label
_atom_site_fract_x
_atom_site_fract_y
_atom_site_fract_z
_atom_site_occupancy
Mg1 0.0000 0.0000 0.0000 1
Ta1 0.0000 0.0000 0.5000 1
F1 0.0000 0.0000 0.1033 1
```

[12]
This record from Alexandria describes a relaxed Mg2TaF crystal. The functional is GGA-PBE.

Values from the calculation:
As for the energy above the most stable polymorph in this dataset: 0.0 meV/atom. Its total energy is -73.6 eV per cell. Its raw formation energy is -0.37 eV/atom.

Geometry as CIF:
```
data_Mg2TaF
_symmetry_space_group_name_H-M 'I -4 2 d'
_symmetry_Int_Tables_number 122
_symmetry_space_group_name_Hall 'I -4 2bw'
_cell_length_a 6.168
_cell_length_b 6.168
_cell_length_c 7.608
_cell_angle_alpha 90.00
_cell_angle_beta 90.00
_cell_angle_gamma 90.00
loop_
_atom_site_label
_atom_site_fract_x
_atom_site_fract_y
_atom_site_fract_z
_atom_site_occupancy
Mg1 0.130 0.750 0.125 1
Ta1 0.000 0.000 0.500 1
F1 0.000 0.000 0.000 1
```